Na5Ni2P2C2O14: single point on PBEsol structure, SCAN. Values from VASP.

Properties
- V (A^3/atom) = 11.579
- formation energy from raw total energies (eV/atom) = -2.015
- total moment (μB/cell) = 6.00

The structure in Quantum ESPRESSO input format:
```
&SYSTEM
  ibrav = 0, nat = 50, ntyp = 5
/
ATOMIC_SPECIES
Na 22.99 Na.upf
Ni 58.69 Ni.upf
P 30.97 P.upf
C 12.01 C.upf
O 16.00 O.upf
ATOMIC_POSITIONS crystal
Na 0.2330 0.0973 0.3257
Na 0.2327 0.6133 0.1312
Na 0.2394 0.8788 0.8827
Na 0.2435 0.3868 0.3734
Na 0.2504 0.1283 0.6357
Na 0.7496 0.8717 0.3643
Na 0.7565 0.6132 0.6266
Na 0.7606 0.1212 0.1173
Na 0.7673 0.3867 0.8688
Na 0.7670 0.9027 0.6743
Ni 0.2210 0.7015 0.4501
Ni 0.2271 0.2045 0.9466
Ni 0.7729 0.7955 0.0534
Ni 0.7790 0.2985 0.5499
P 0.2927 0.4145 0.6627
P 0.2957 0.9138 0.1643
P 0.7043 0.0862 0.8357
P 0.7073 0.5855 0.3373
C 0.2755 0.8417 0.5925
C 0.2834 0.3350 0.0857
C 0.7166 0.6650 0.9143
C 0.7245 0.1583 0.4075
O 0.0555 0.8096 0.5533
O 0.0624 0.3006 0.0461
O 0.1470 0.8371 0.0936
O 0.1521 0.3382 0.5868
O 0.2113 0.3685 0.8060
O 0.2217 0.5609 0.6145
O 0.2275 0.0619 0.1170
O 0.2302 0.8740 0.3100
O 0.2759 0.9108 0.6681
O 0.2891 0.3950 0.1658
O 0.4012 0.1030 0.8532
O 0.4040 0.6044 0.3491
O 0.4873 0.2947 0.0362
O 0.4894 0.8036 0.5505
O 0.5106 0.1964 0.4495
O 0.5127 0.7053 0.9638
O 0.5960 0.3956 0.6509
O 0.5988 0.8970 0.1468
O 0.7109 0.6050 0.8342
O 0.7241 0.0892 0.3319
O 0.7698 0.1260 0.6900
O 0.7725 0.9381 0.8830
O 0.7783 0.4391 0.3855
O 0.7887 0.6315 0.1940
O 0.8479 0.6618 0.4132
O 0.8530 0.1629 0.9064
O 0.9376 0.6994 0.9539
O 0.9445 0.1904 0.4467
CELL_PARAMETERS angstrom
5.1041 0.0000 0.0000
0.1863 10.8437 0.0000
0.1887 3.4590 10.4601
```

Mg2Ag: single point on PBEsol structure, SCAN. Values from VASP.

Properties
- V (A^3/atom) = 19.458
- formation energy (eV per atom) = -0.10
- total moment (μB/cell) = 0.00

The structure in Quantum ESPRESSO input format:
```
&SYSTEM
  ibrav = 0, nat = 6, ntyp = 2
/
ATOMIC_SPECIES
Mg 24.30 Mg.upf
Ag 107.87 Ag.upf
ATOMIC_POSITIONS crystal
Mg 0.0610 0.9390 0.7500
Mg 0.3764 0.6236 0.7500
Mg 0.6236 0.3764 0.2500
Mg 0.9390 0.0610 0.2500
Ag 0.2799 0.7201 0.2500
Ag 0.7201 0.2799 0.7500
CELL_PARAMETERS angstrom
1.5660 -7.5742 0.0000
1.5660 7.5742 0.0000
0.0000 0.0000 4.9215
```

Li3FeP2O8: single point on PBEsol structure, SCAN. Values from VASP.

Properties
- polymorph energy (0 for the lowest one) (kcal/mol of atoms) = 0.29
- V (A^3/atom) = 11.693
- formation energy from raw total energies (eV/atom) = -2.410
- total moment (μB/cell) = 19.84

The structure in Quantum ESPRESSO input format:
```
&SYSTEM
  ibrav = 0, nat = 56, ntyp = 4
/
ATOMIC_SPECIES
Li 6.94 Li.upf
Fe 55.84 Fe.upf
P 30.97 P.upf
O 16.00 O.upf
ATOMIC_POSITIONS crystal
Li 0.0463 0.0000 0.0339
Li 0.0975 0.7462 0.8351
Li 0.1056 0.9152 0.3470
Li 0.1465 0.2369 0.9064
Li 0.1467 0.4265 0.4162
Li 0.3265 0.7261 0.5886
Li 0.6735 0.2261 0.4114
Li 0.8533 0.9265 0.5838
Li 0.8535 0.7369 0.0936
Li 0.8944 0.4152 0.6530
Li 0.9025 0.2462 0.1649
Li 0.9537 0.5000 0.9661
Fe 0.4043 0.2396 0.6613
Fe 0.4123 0.4173 0.1624
Fe 0.5877 0.9173 0.8376
Fe 0.5957 0.7396 0.3387
P 0.2007 0.9890 0.7143
P 0.2194 0.6658 0.2129
P 0.2661 0.4880 0.7958
P 0.2688 0.1760 0.2910
P 0.7312 0.6760 0.7090
P 0.7339 0.9880 0.2042
P 0.7806 0.1658 0.7871
P 0.7993 0.4890 0.2857
O 0.0652 0.9768 0.5474
O 0.0688 0.6738 0.0523
O 0.1123 0.4211 0.8394
O 0.1256 0.2528 0.3341
O 0.1442 0.9346 0.8630
O 0.1816 0.7345 0.3630
O 0.2271 0.0358 0.2405
O 0.2397 0.6297 0.7450
O 0.2561 0.1364 0.7519
O 0.2602 0.5165 0.2565
O 0.3107 0.4087 0.6474
O 0.3206 0.2477 0.1394
O 0.3655 0.9138 0.6925
O 0.3866 0.7217 0.1771
O 0.4248 0.4711 0.9530
O 0.4344 0.1893 0.4480
O 0.5656 0.6893 0.5520
O 0.5752 0.9711 0.0470
O 0.6134 0.2217 0.8229
O 0.6345 0.4138 0.3075
O 0.6794 0.7477 0.8606
O 0.6893 0.9087 0.3526
O 0.7398 0.0165 0.7435
O 0.7439 0.6364 0.2481
O 0.7603 0.1297 0.2550
O 0.7729 0.5358 0.7595
O 0.8184 0.2345 0.6370
O 0.8558 0.4346 0.1370
O 0.8744 0.7528 0.6659
O 0.8877 0.9211 0.1606
O 0.9312 0.1738 0.9477
O 0.9348 0.4768 0.4526
CELL_PARAMETERS angstrom
8.0930 0.0000 0.0000
0.0000 10.2452 0.0000
-2.1756 0.0000 7.8973
```

BaSrAu: single point on PBEsol structure, SCAN. Values from VASP.

Properties
- polymorph energy (0 for the lowest one) (kcal/mol of atoms) = 0.53
- V (A^3/atom) = 37.936
- formation energy (eV per atom) = -0.61
- total moment (μB/cell) = 0.00

The structure in Quantum ESPRESSO input format:
```
&SYSTEM
  ibrav = 0, nat = 3, ntyp = 3
/
ATOMIC_SPECIES
Ba 137.33 Ba.upf
Sr 87.62 Sr.upf
Au 196.97 Au.upf
ATOMIC_POSITIONS crystal
Ba 0.0000 0.0000 0.0000
Sr 0.5000 0.5000 0.5000
Au 0.2500 0.2500 0.2500
CELL_PARAMETERS angstrom
0.0000 3.8463 3.8463
3.8463 0.0000 3.8463
3.8463 3.8463 0.0000
```

ZnPH4NO4: single point on PBEsol structure, SCAN. Values from VASP.

Properties
- V (A^3/atom) = 9.754
- E (eV/atom) = -8.005
- total moment (μB/cell) = 0.00

The structure in Quantum ESPRESSO input format:
```
&SYSTEM
  ibrav = 0, nat = 88, ntyp = 5
/
ATOMIC_SPECIES
Zn 65.41 Zn.upf
P 30.97 P.upf
H 1.01 H.upf
N 14.01 N.upf
O 16.00 O.upf
ATOMIC_POSITIONS crystal
Zn 0.1474 0.8202 0.0000
Zn 0.1798 0.3272 0.0000
Zn 0.3272 0.1474 0.5000
Zn 0.3333 0.6667 0.6187
Zn 0.6667 0.3333 0.1187
Zn 0.6728 0.8526 0.0000
Zn 0.8202 0.6728 0.5000
Zn 0.8526 0.1798 0.5000
P 0.1454 0.8173 0.6191
P 0.1827 0.3280 0.6191
P 0.3280 0.1454 0.1191
P 0.3333 0.6667 0.0117
P 0.6667 0.3333 0.5117
P 0.6720 0.8546 0.6191
P 0.8173 0.6720 0.1191
P 0.8546 0.1827 0.1191
H 0.0000 0.0000 0.1951
H 0.0000 0.0000 0.6951
H 0.0081 0.5893 0.2344
H 0.0215 0.5726 0.8129
H 0.0277 0.9263 0.3593
H 0.0737 0.1014 0.3593
H 0.0982 0.5931 0.3984
H 0.1014 0.0277 0.8593
H 0.1324 0.5364 0.2234
H 0.4040 0.8676 0.2234
H 0.4069 0.5052 0.3984
H 0.4107 0.4188 0.2344
H 0.4188 0.0081 0.7344
H 0.4274 0.4489 0.8129
H 0.4489 0.0215 0.3129
H 0.4636 0.5960 0.2234
H 0.4948 0.9018 0.3984
H 0.5052 0.0982 0.8984
H 0.5364 0.4040 0.7234
H 0.5511 0.9785 0.8129
H 0.5726 0.5511 0.3129
H 0.5812 0.9919 0.2344
H 0.5893 0.5812 0.7344
H 0.5931 0.4948 0.8984
H 0.5960 0.1324 0.7234
H 0.8676 0.4636 0.7234
H 0.8986 0.9723 0.3593
H 0.9018 0.4069 0.8984
H 0.9263 0.8986 0.8593
H 0.9723 0.0737 0.8593
H 0.9785 0.4274 0.3129
H 0.9919 0.4107 0.7344
N 0.0000 0.0000 0.3140
N 0.0000 0.0000 0.8140
N 0.0530 0.5361 0.2956
N 0.4639 0.5169 0.2956
N 0.4831 0.9470 0.2956
N 0.5169 0.0530 0.7956
N 0.5361 0.4831 0.7956
N 0.9470 0.4639 0.7956
O 0.0232 0.8153 0.5205
O 0.0265 0.3010 0.6214
O 0.0912 0.7672 0.7857
O 0.1847 0.2079 0.5205
O 0.1901 0.7133 0.5448
O 0.2079 0.0232 0.0205
O 0.2272 0.5147 0.0782
O 0.2328 0.3240 0.7857
O 0.2746 0.9735 0.6214
O 0.2867 0.4768 0.5448
O 0.2875 0.7728 0.0782
O 0.3010 0.2746 0.1214
O 0.3240 0.0912 0.2857
O 0.3333 0.6667 0.8372
O 0.4768 0.1901 0.0448
O 0.4853 0.7125 0.0782
O 0.5147 0.2875 0.5782
O 0.5232 0.8099 0.5448
O 0.6667 0.3333 0.3372
O 0.6760 0.9088 0.7857
O 0.6990 0.7254 0.6214
O 0.7125 0.2272 0.5782
O 0.7133 0.5232 0.0448
O 0.7254 0.0265 0.1214
O 0.7672 0.6760 0.2857
O 0.7728 0.4853 0.5782
O 0.7921 0.9768 0.5205
O 0.8099 0.2867 0.0448
O 0.8153 0.7921 0.0205
O 0.9088 0.2328 0.2857
O 0.9735 0.6990 0.1214
O 0.9768 0.1847 0.0205
CELL_PARAMETERS angstrom
10.7022 0.0000 0.0000
-5.3511 9.2684 0.0000
0.0000 0.0000 8.6535
```

TaCoIr: single point on PBEsol structure, SCAN. Values from VASP.

Properties
- V (A^3/atom) = 13.634
- formation energy (eV per atom) = -0.50
- total moment (μB/cell) = 1.41

The structure in Quantum ESPRESSO input format:
```
&SYSTEM
  ibrav = 0, nat = 6, ntyp = 3
/
ATOMIC_SPECIES
Ta 180.95 Ta.upf
Co 58.93 Co.upf
Ir 192.22 Ir.upf
ATOMIC_POSITIONS crystal
Ta 0.3333 0.6667 0.2500
Ta 0.6667 0.3333 0.7500
Co 0.3333 0.6667 0.7500
Co 0.6667 0.3333 0.2500
Ir 0.0000 0.0000 0.0000
Ir 0.0000 0.0000 0.5000
CELL_PARAMETERS angstrom
4.2182 0.0000 0.0000
-2.1091 3.6530 0.0000
0.0000 0.0000 5.3087
```

MgTl3Tc: single point on PBEsol structure, SCAN. Values from VASP.

Properties
- V (A^3/atom) = 29.044
- formation energy (eV per atom) = 1.06
- total moment (μB/cell) = 4.19

The structure in Quantum ESPRESSO input format:
```
&SYSTEM
  ibrav = 0, nat = 5, ntyp = 3
/
ATOMIC_SPECIES
Mg 24.30 Mg.upf
Tl 204.38 Tl.upf
Tc 98.00 Tc.upf
ATOMIC_POSITIONS crystal
Mg 0.0000 0.0000 0.0000
Tl 0.0000 0.0000 0.5000
Tl 0.0000 0.5000 0.0000
Tl 0.5000 0.0000 0.0000
Tc 0.5000 0.5000 0.5000
CELL_PARAMETERS angstrom
5.2563 0.0000 0.0000
0.0000 5.2563 0.0000
0.0000 0.0000 5.2563
```

FeCo3: single point on PBEsol structure, SCAN. Values from VASP.

Properties
- V (A^3/atom) = 10.692
- formation energy (eV per atom) = -0.08
- total moment (μB/cell) = 16.78

The structure in Quantum ESPRESSO input format:
```
&SYSTEM
  ibrav = 0, nat = 8, ntyp = 2
/
ATOMIC_SPECIES
Fe 55.84 Fe.upf
Co 58.93 Co.upf
ATOMIC_POSITIONS crystal
Fe 0.2500 0.0000 0.1268
Fe 0.7500 0.0000 0.8732
Co 0.2500 0.0000 0.6269
Co 0.2500 0.5000 0.3789
Co 0.2500 0.5000 0.8732
Co 0.7500 0.0000 0.3731
Co 0.7500 0.5000 0.1268
Co 0.7500 0.5000 0.6211
CELL_PARAMETERS angstrom
2.7919 0.0000 0.0000
0.0000 3.9058 0.0000
0.0000 0.0000 7.8443
```

HgPb5: single point on PBEsol structure, SCAN. Values from VASP.

Properties
- polymorph energy (0 for the lowest one) (kcal/mol of atoms) = 0.44
- V (A^3/atom) = 28.572
- formation energy (eV per atom) = 0.03
- total moment (μB/cell) = 0.00

The structure in Quantum ESPRESSO input format:
```
&SYSTEM
  ibrav = 0, nat = 6, ntyp = 2
/
ATOMIC_SPECIES
Hg 200.59 Hg.upf
Pb 207.20 Pb.upf
ATOMIC_POSITIONS crystal
Hg 0.0000 0.0000 0.0000
Pb 0.0000 0.3378 0.3378
Pb 0.0000 0.6643 0.6643
Pb 0.5000 0.1047 0.1047
Pb 0.5000 0.4401 0.4401
Pb 0.5000 0.7736 0.7736
CELL_PARAMETERS angstrom
5.7107 0.0000 0.0000
0.0000 1.7049 8.8039
0.0000 -1.7049 8.8039
```

CaNi4Pb: single point on PBEsol structure, SCAN. Values from VASP.

Properties
- V (A^3/atom) = 14.332
- formation energy (eV per atom) = -0.04
- total moment (μB/cell) = 0.00

The structure in Quantum ESPRESSO input format:
```
&SYSTEM
  ibrav = 0, nat = 6, ntyp = 3
/
ATOMIC_SPECIES
Ca 40.08 Ca.upf
Ni 58.69 Ni.upf
Pb 207.20 Pb.upf
ATOMIC_POSITIONS crystal
Ca 0.0000 0.0000 0.0000
Ni 0.1266 0.6245 0.6245
Ni 0.6245 0.1266 0.6245
Ni 0.6245 0.6245 0.1266
Ni 0.6245 0.6245 0.6245
Pb 0.2500 0.2500 0.2500
CELL_PARAMETERS angstrom
0.0000 3.5033 3.5033
3.5033 0.0000 3.5033
3.5033 3.5033 0.0000
```

La2ScBiRh: single point on PBEsol structure, SCAN. Values from VASP.

Properties
- V (A^3/atom) = 35.369
- formation energy (eV per atom) = 0.38
- total moment (μB/cell) = 1.45

The structure in Quantum ESPRESSO input format:
```
&SYSTEM
  ibrav = 0, nat = 5, ntyp = 4
/
ATOMIC_SPECIES
La 138.91 La.upf
Sc 44.96 Sc.upf
Bi 208.98 Bi.upf
Rh 102.91 Rh.upf
ATOMIC_POSITIONS crystal
La 0.0000 0.5000 0.0000
La 0.5000 0.0000 0.0000
Sc 0.0000 0.0000 0.5000
Bi 0.5000 0.5000 0.0000
Rh 0.5000 0.5000 0.5000
CELL_PARAMETERS angstrom
5.9954 0.0000 0.0000
0.0000 5.9954 0.0000
0.0000 0.0000 4.9198
```

Tm2IrOs: single point on PBEsol structure, SCAN. Values from VASP.

Properties
- V (A^3/atom) = 18.264
- formation energy (eV per atom) = -0.76
- total moment (μB/cell) = 0.00

The structure in Quantum ESPRESSO input format:
```
&SYSTEM
  ibrav = 0, nat = 4, ntyp = 3
/
ATOMIC_SPECIES
Tm 168.93 Tm.upf
Ir 192.22 Ir.upf
Os 190.23 Os.upf
ATOMIC_POSITIONS crystal
Tm 0.2500 0.2500 0.2500
Tm 0.7500 0.7500 0.7500
Ir 0.0000 0.0000 0.0000
Os 0.5000 0.5000 0.5000
CELL_PARAMETERS angstrom
0.0000 3.3180 3.3180
3.3180 0.0000 3.3180
3.3180 3.3180 0.0000
```

RbFeRuCl2: single point on PBEsol structure, SCAN. Values from VASP.

Properties
- V (A^3/atom) = 22.322
- formation energy from raw total energies (eV/atom) = -0.023
- total moment (μB/cell) = 6.00

The structure in Quantum ESPRESSO input format:
```
&SYSTEM
  ibrav = 0, nat = 5, ntyp = 4
/
ATOMIC_SPECIES
Rb 85.47 Rb.upf
Fe 55.84 Fe.upf
Ru 101.07 Ru.upf
Cl 35.45 Cl.upf
ATOMIC_POSITIONS crystal
Rb 0.0000 0.0000 0.0000
Fe 0.5000 0.5000 0.5000
Ru 0.5000 0.5000 0.0000
Cl 0.0000 0.5000 0.5000
Cl 0.5000 0.0000 0.5000
CELL_PARAMETERS angstrom
4.8896 0.0000 0.0000
0.0000 4.8896 0.0000
0.0000 0.0000 4.6682
```

MgBeMo2: single point on PBEsol structure, SCAN. Values from VASP.

Properties
- polymorph energy (0 for the lowest one) (kcal/mol of atoms) = 4.69
- V (A^3/atom) = 14.671
- formation energy (eV per atom) = 0.44
- total moment (μB/cell) = 0.00

The structure in Quantum ESPRESSO input format:
```
&SYSTEM
  ibrav = 0, nat = 4, ntyp = 3
/
ATOMIC_SPECIES
Mg 24.30 Mg.upf
Be 9.01 Be.upf
Mo 95.94 Mo.upf
ATOMIC_POSITIONS crystal
Mg 0.0000 0.0000 0.0000
Be 0.5000 0.5000 0.5000
Mo 0.2421 0.2421 0.2421
Mo 0.7579 0.7579 0.7579
CELL_PARAMETERS angstrom
1.3706 0.7913 9.0183
-1.3706 0.7913 9.0183
0.0000 -1.5826 9.0183
```

NdH2ClO2: single point on PBEsol structure, SCAN. Values from VASP.

Properties
- V (A^3/atom) = 12.273
- E (eV/atom) = -14.110
- total moment (μB/cell) = 0.00

The structure in Quantum ESPRESSO input format:
```
&SYSTEM
  ibrav = 0, nat = 12, ntyp = 4
/
ATOMIC_SPECIES
Nd 144.24 Nd.upf
H 1.01 H.upf
Cl 35.45 Cl.upf
O 16.00 O.upf
ATOMIC_POSITIONS crystal
Nd 0.1901 0.2500 0.3664
Nd 0.8099 0.7500 0.6336
H 0.1973 0.2500 0.8117
H 0.3830 0.7500 0.7240
H 0.6170 0.2500 0.2760
H 0.8027 0.7500 0.1883
Cl 0.2522 0.7500 0.0540
Cl 0.7478 0.2500 0.9460
O 0.0729 0.2500 0.6666
O 0.4000 0.7500 0.5851
O 0.6000 0.2500 0.4149
O 0.9271 0.7500 0.3334
CELL_PARAMETERS angstrom
6.1695 0.0000 0.0000
0.0000 3.8428 0.0000
-2.6089 0.0000 6.2120
```

LaP2Ir: single point on PBEsol structure, SCAN. Values from VASP.

Properties
- V (A^3/atom) = 18.093
- formation energy (eV per atom) = -1.23
- total moment (μB/cell) = 0.00

The structure in Quantum ESPRESSO input format:
```
&SYSTEM
  ibrav = 0, nat = 4, ntyp = 3
/
ATOMIC_SPECIES
La 138.91 La.upf
P 30.97 P.upf
Ir 192.22 Ir.upf
ATOMIC_POSITIONS crystal
La 0.0000 0.0000 0.0000
P 0.2239 0.2239 0.2239
P 0.7761 0.7761 0.7761
Ir 0.5000 0.5000 0.5000
CELL_PARAMETERS angstrom
1.9561 1.1294 5.4598
-1.9561 1.1294 5.4598
0.0000 -2.2588 5.4598
```

Ho2Co5Ni5: single point on PBEsol structure, SCAN. Values from VASP.

Properties
- V (A^3/atom) = 12.938
- formation energy (eV per atom) = -0.17
- total moment (μB/cell) = 9.96

The structure in Quantum ESPRESSO input format:
```
&SYSTEM
  ibrav = 0, nat = 12, ntyp = 3
/
ATOMIC_SPECIES
Ho 164.93 Ho.upf
Co 58.93 Co.upf
Ni 58.69 Ni.upf
ATOMIC_POSITIONS crystal
Ho 0.0000 0.0000 0.0000
Ho 0.0000 0.5000 0.5000
Co 0.0000 0.0000 0.3342
Co 0.0000 0.0000 0.6658
Co 0.0000 0.5000 0.1600
Co 0.0000 0.5000 0.8400
Co 0.5000 0.5000 0.0000
Ni 0.5000 0.0000 0.5000
Ni 0.5000 0.2498 0.2496
Ni 0.5000 0.2498 0.7504
Ni 0.5000 0.7502 0.2496
Ni 0.5000 0.7502 0.7504
CELL_PARAMETERS angstrom
3.9019 0.0000 0.0000
0.0000 4.8144 0.0000
0.0000 0.0000 8.2646
```

SrMn2Tl: single point on PBEsol structure, SCAN. Values from VASP.

Properties
- polymorph energy (0 for the lowest one) (kcal/mol of atoms) = 9.06
- V (A^3/atom) = 23.663
- formation energy (eV per atom) = 0.45
- total moment (μB/cell) = 8.35

The structure in Quantum ESPRESSO input format:
```
&SYSTEM
  ibrav = 0, nat = 4, ntyp = 3
/
ATOMIC_SPECIES
Sr 87.62 Sr.upf
Mn 54.94 Mn.upf
Tl 204.38 Tl.upf
ATOMIC_POSITIONS crystal
Sr 0.0000 0.0000 0.0000
Mn 0.2408 0.2408 0.2408
Mn 0.7592 0.7592 0.7592
Tl 0.5000 0.5000 0.5000
CELL_PARAMETERS angstrom
1.6956 0.9790 9.5032
-1.6956 0.9790 9.5032
0.0000 -1.9580 9.5032
```